(1)
# TiAlSCl2

A relaxed structure of TiAlSCl2 (PBE-GGA, the Alexandria database).

E_form (uncorrected) ... -0.34 eV/atom
N(E_F) ... 1.394 states/eV/atom
Offset from the most stable computed form ... 435 meV/atom
Electronic total energy ... -4.236 eV per atom

Geometry as POSCAR:
```
TiAlSCl2
1.0
4.6767 0.0000 0.0000
0.0000 4.6767 0.0000
0.0000 0.0000 4.7726
Ti Al S Cl
1 1 1 2
Cartesian
0.0000 0.0000 0.0000 Ti
2.3383 2.3383 2.3863 Al
2.3383 2.3383 0.0000 S
0.0000 2.3383 2.3863 Cl
2.3383 0.0000 2.3863 Cl
```

(2)
# AlTlS2Cl

A relaxed structure of AlTlS2Cl (PBE-GGA, the Alexandria database).

E_form (uncorrected) ... -0.58 eV/atom
N(E_F) ... 0.616 states/eV/atom
Offset from the most stable computed form ... 0 meV/atom
Electronic total energy ... -3.822 eV per atom

Geometry as POSCAR:
```
AlTlS2Cl
1.0
4.6641 0.0000 0.0000
0.0000 4.6641 0.0000
0.0000 0.0000 5.1324
Al Tl S Cl
1 1 2 1
Cartesian
0.0000 0.0000 0.0000 Al
2.3320 2.3320 2.5662 Tl
0.0000 2.3320 0.0000 S
2.3320 0.0000 0.0000 S
0.0000 0.0000 2.5662 Cl
```

(3)
# AlTlS2Cl

A relaxed structure of AlTlS2Cl (PBE-GGA, the Alexandria database).

E_form (uncorrected) ... 0.34 eV/atom
N(E_F) ... 1.180 states/eV/atom
Offset from the most stable computed form ... 916 meV/atom
Electronic total energy ... -2.906 eV per atom

Geometry as POSCAR:
```
AlTlS2Cl
1.0
5.1112 0.0000 0.0000
0.0000 5.1112 0.0000
0.0000 0.0000 5.4319
Al Tl S Cl
1 1 2 1
Cartesian
0.0000 0.0000 0.0000 Al
2.5556 2.5556 2.7159 Tl
0.0000 2.5556 2.7159 S
2.5556 0.0000 2.7159 S
2.5556 2.5556 0.0000 Cl
```